(1)
Density functional theory data (GGA-PBE) for a geometry-optimized Cs2Li2ZrSe4 structure.

a = 8.0082 Å, b = 8.0082 Å, c = 8.2822 Å
α = 107.71°, β = 107.71°, γ = 30.19°
With the nearest neighbours (Å) after each atom.
Element x y z (fractional)
Cs 0.1387 0.1387 0.0637  7 Se 3.65-3.75, 3 Li 3.92-3.93, 1 Cs 4.08
Cs 0.8613 0.8613 0.9363  7 Se 3.65-3.75, 3 Li 3.92-3.93, 1 Cs 4.08
Li 0.3215 0.3215 0.5183  4 Se 2.51-2.69
Li 0.6785 0.6785 0.4817  4 Se 2.51-2.69
Zr 0.0000 0.0000 0.5000  6 Se 2.73-2.79
Se 0.1842 0.1842 0.6528  3 Li 2.51-2.69, 1 Zr 2.73
Se 0.4850 0.4850 0.7132  1 Li 2.53, 2 Zr 2.79
Se 0.5150 0.5150 0.2868  1 Li 2.53, 2 Zr 2.79
Se 0.8158 0.8158 0.3472  3 Li 2.51-2.69, 1 Zr 2.73

* formation energy from raw total energies: -1.315 eV/atom
* space group: No. 12

***

(2)
Density functional theory data (GGA-PBE) for a geometry-optimized HfGa2AgAs structure.

a = 5.2589 Å, b = 5.2589 Å, c = 5.0794 Å
α = 90.00°, β = 90.00°, γ = 90.00°
With the nearest neighbours (Å) after each atom.
Element x y z (fractional)
Hf 0.0000 0.0000 0.0000  2 As 2.54, 4 Ga 2.63
Ga 0.0000 0.5000 0.0000  2 Hf 2.63
Ga 0.5000 0.0000 0.0000  2 Hf 2.63
Ag 0.5000 0.5000 0.5000  8 Ga 3.66, 4 As 3.72
As 0.0000 0.0000 0.5000  2 Hf 2.54

* DFT formation energy: 477 meV/atom
* space group: No. 123

***

(3)
Density functional theory data (GGA-PBE) for a geometry-optimized SrSnS2Cl structure.

a = 5.5194 Å, b = 5.5194 Å, c = 5.3745 Å
α = 90.00°, β = 90.00°, γ = 90.00°
With the nearest neighbours (Å) after each atom.
Element x y z (fractional)
Sr 0.0000 0.0000 0.0000  2 Cl 2.69, 4 S 2.76
Sn 0.5000 0.5000 0.5000  8 S 3.85, 4 Cl 3.90
S 0.0000 0.5000 0.0000  2 Sr 2.76
S 0.5000 0.0000 0.0000  2 Sr 2.76
Cl 0.0000 0.0000 0.5000  2 Sr 2.69

* formation energy from raw total energies: -0.423 eV/atom
* space group: No. 123

***

(4)
Density functional theory data (GGA-PBE) for a geometry-optimized Sm3Ga3Hg2 structure.

a = 6.0574 Å, b = 6.0574 Å, c = 14.9671 Å
α = 90.00°, β = 90.00°, γ = 135.91°
With the nearest neighbours (Å) after each atom.
Element x y z (fractional)
Sm 0.0793 0.9207 0.6138  6 Ga 3.12-3.29, 4 Hg 3.26-3.49
Sm 0.0793 0.9207 0.8862  6 Ga 3.12-3.29, 4 Hg 3.26-3.49
Sm 0.3518 0.6482 0.7500  5 Ga 3.13-3.33, 4 Hg 3.32
Sm 0.6482 0.3518 0.2500  5 Ga 3.13-3.33, 4 Hg 3.32
Sm 0.9207 0.0793 0.1138  6 Ga 3.12-3.29, 4 Hg 3.26-3.49
Sm 0.9207 0.0793 0.3862  6 Ga 3.12-3.29, 4 Hg 3.26-3.49
Ga 0.3651 0.6349 0.2500  2 Hg 2.86, 5 Sm 3.12-3.18
Ga 0.4016 0.5984 0.5444  1 Ga 2.58, 2 Hg 2.73
Ga 0.4016 0.5984 0.9556  1 Ga 2.58, 2 Hg 2.73
Ga 0.5984 0.4016 0.0444  1 Ga 2.58, 2 Hg 2.73
Ga 0.5984 0.4016 0.4556  1 Ga 2.58, 2 Hg 2.73
Ga 0.6349 0.3651 0.7500  2 Hg 2.86, 5 Sm 3.12-3.18
Hg 0.2145 0.7855 0.0958  4 Ga 2.73-2.97
Hg 0.2145 0.7855 0.4042  4 Ga 2.73-2.97
Hg 0.7855 0.2145 0.5958  4 Ga 2.73-2.97
Hg 0.7855 0.2145 0.9042  4 Ga 2.73-2.97

* DFT formation energy: -542 meV/atom
* space group: No. 63

***

(5)
Density functional theory data (GGA-PBE) for a geometry-optimized Ti2CdP2 structure.

a = 7.0388 Å, b = 7.0388 Å, c = 3.2218 Å
α = 90.00°, β = 90.00°, γ = 90.00°
With the nearest neighbours (Å) after each atom.
Element x y z (fractional)
Ti 0.1407 0.3593 0.0000  6 P 2.56-2.69, 1 Ti 2.80
Ti 0.3593 0.8593 0.0000  6 P 2.56-2.69, 1 Ti 2.80
Ti 0.6407 0.1407 0.0000  6 P 2.56-2.69, 1 Ti 2.80
Ti 0.8593 0.6407 0.0000  6 P 2.56-2.69, 1 Ti 2.80
Cd 0.0000 0.0000 0.5000  4 P 2.71
Cd 0.5000 0.5000 0.5000  4 P 2.71
P 0.1424 0.6424 0.5000  6 Ti 2.56-2.69, 2 Cd 2.71, 1 P 2.83
P 0.3576 0.1424 0.5000  6 Ti 2.56-2.69, 2 Cd 2.71, 1 P 2.83
P 0.6424 0.8576 0.5000  6 Ti 2.56-2.69, 2 Cd 2.71, 1 P 2.83
P 0.8576 0.3576 0.5000  6 Ti 2.56-2.69, 2 Cd 2.71, 1 P 2.83

* DFT formation energy: -649 meV/atom
* space group: No. 127

***

(6)
Density functional theory data (GGA-PBE) for a geometry-optimized SnBi2RuW structure.

a = 5.6402 Å, b = 5.6402 Å, c = 5.0375 Å
α = 90.00°, β = 90.00°, γ = 90.00°
With the nearest neighbours (Å) after each atom.
Element x y z (fractional)
Sn 0.0000 0.0000 0.0000  2 W 2.52, 4 Bi 2.82
Bi 0.0000 0.5000 0.0000  2 Sn 2.82
Bi 0.5000 0.0000 0.0000  2 Sn 2.82
Ru 0.5000 0.5000 0.5000  8 Bi 3.78, 4 W 3.99
W 0.0000 0.0000 0.5000  2 Sn 2.52

* DFT formation energy: 2249 meV/atom
* space group: No. 123

***

(7)
Density functional theory data (GGA-PBE) for a geometry-optimized AcNb6Se8 structure.

a = 6.9784 Å, b = 6.9784 Å, c = 6.9784 Å
α = 86.62°, β = 86.62°, γ = 86.62°
With the nearest neighbours (Å) after each atom.
Element x y z (fractional)
Ac 0.0000 0.0000 0.0000  8 Se 3.04-3.27
Nb 0.2136 0.5549 0.4136  5 Se 2.58-2.71, 2 Nb 2.84
Nb 0.4136 0.2136 0.5549  5 Se 2.58-2.71, 2 Nb 2.84
Nb 0.4451 0.5864 0.7864  5 Se 2.58-2.71, 2 Nb 2.84
Nb 0.5549 0.4136 0.2136  5 Se 2.58-2.71, 2 Nb 2.84
Nb 0.5864 0.7864 0.4451  5 Se 2.58-2.71, 2 Nb 2.84
Nb 0.7864 0.4451 0.5864  5 Se 2.58-2.71, 2 Nb 2.84
Se 0.1241 0.3948 0.7613  4 Nb 2.67-2.71
Se 0.2382 0.2382 0.2382  3 Nb 2.58
Se 0.2387 0.8759 0.6052  4 Nb 2.67-2.71
Se 0.3948 0.7613 0.1241  4 Nb 2.67-2.71
Se 0.6052 0.2387 0.8759  4 Nb 2.67-2.71
Se 0.7613 0.1241 0.3948  4 Nb 2.67-2.71
Se 0.7618 0.7618 0.7618  3 Nb 2.58
Se 0.8759 0.6052 0.2387  4 Nb 2.67-2.71

* formation energy from raw total energies: -0.908 eV/atom
* space group: No. 148

***

(8)
Density functional theory data (GGA-PBE) for a geometry-optimized SeIN2Cl structure.

a = 3.8992 Å, b = 3.8992 Å, c = 8.5051 Å
α = 90.00°, β = 90.00°, γ = 90.00°
With the nearest neighbours (Å) after each atom.
Element x y z (fractional)
Se 0.0000 0.0000 0.0000  4 N 1.95
I 0.0000 0.0000 0.5000  4 Cl 2.76
N 0.0000 0.5000 0.0000  2 Se 1.95
N 0.5000 0.0000 0.0000  2 Se 1.95
Cl 0.5000 0.5000 0.5000  4 I 2.76

* formation energy from raw total energies: 1.542 eV/atom
* space group: No. 123